La2CoI | Alexandria via LeMat-Bulk | PBE | relaxed; E_form (uncorrected) = -15.480 kcal/mol of atoms; volume = 364.5 Å³ per cell; polymorph energy (0 for the lowest one) = 14.0 meV per atom
1.0
4.1111 0.0000 0.0000
-2.0556 3.5603 0.0000
0.0000 0.0000 24.9050
La Co I
6 3 3
direct
0.0000 0.0000 0.0000
0.0000 0.0000 0.2126
0.3333 0.6667 0.6667
0.3333 0.6667 0.8792
0.6667 0.3333 0.3333
0.6667 0.3333 0.5459
0.0000 0.0000 0.6070
0.3333 0.6667 0.2737
0.6667 0.3333 0.9403
0.0000 0.0000 0.4387
0.3333 0.6667 0.1054
0.6667 0.3333 0.7721